(1)
VASP calculation (GGA-PBE) on SnPdN after structural relaxation.

Unit cell a=3.2865 b=3.2865 c=5.2150 alpha=90.00 beta=90.00 gamma=120.00
Fractional positions:
Sn 0.3333 0.6667 0.2891
Pd 0.0000 0.0000 0.6833
N 0.0000 0.0000 0.0952

## Properties
Space-group type   P3m1 (156)
DOS at the Fermi energy   0.97 states/eV/f.u.
VASP energy   -5.5894 eV/atom


(2)
VASP calculation (GGA-PBE) on CsAg3Sn after structural relaxation.

Unit cell a=5.9246 b=5.9246 c=5.9246 alpha=90.00 beta=90.00 gamma=90.00
Fractional positions:
Cs 0.0000 0.0000 0.0000
Sn 0.5000 0.5000 0.5000
Ag 0.0000 0.5000 0.0000
Ag 0.0000 0.0000 0.5000
Ag 0.5000 0.0000 0.0000

## Properties
Energy of formation   1.291 eV/atom
Space-group type   Pm-3m (221)
DOS at the Fermi energy   1.83 states/eV/f.u.


(3)
VASP calculation (GGA-PBE) on Pa2NbS after structural relaxation.

Unit cell a=3.5218 b=3.5218 c=8.5942 alpha=78.18 beta=78.18 gamma=60.00
Fractional positions:
Nb 0.5000 0.5000 0.5000
Pa 0.7427 0.7427 0.7719
Pa 0.2573 0.2573 0.2281
S 0.0000 0.0000 0.0000

## Properties
Space-group type   R-3m (166)
DOS at the Fermi energy   8.72 states/eV/f.u.
VASP energy   -8.6353 eV/atom


(4)
VASP calculation (GGA-PBE) on Zr3Sn2Pd8 after structural relaxation.

Unit cell a=5.3428 b=5.3428 c=10.4070 alpha=75.13 beta=75.13 gamma=60.00
Fractional positions:
Zr 0.0000 0.0000 0.0000
Zr 0.8097 0.8097 0.5710
Zr 0.1903 0.1903 0.4290
Sn 0.6316 0.6316 0.1051
Sn 0.3684 0.3684 0.8949
Pd 0.7195 0.7195 0.8414
Pd 0.2805 0.2805 0.1586
Pd 0.2205 0.7257 0.3281
Pd 0.7257 0.2205 0.3281
Pd 0.7257 0.7257 0.3281
Pd 0.2743 0.7795 0.6719
Pd 0.7795 0.2743 0.6719
Pd 0.2743 0.2743 0.6719

## Properties
Energy of formation   -0.431 eV/atom
Space-group type   R-3m (166)
DOS at the Fermi energy   7.43 states/eV/f.u.


(5)
VASP calculation (GGA-PBE) on Pd3PtAu after structural relaxation.

Unit cell a=2.7832 b=7.2799 c=9.0014 alpha=90.00 beta=90.00 gamma=101.01
Fractional positions:
Pd 0.8386 0.1777 0.0012
Pd 0.1614 0.8223 0.9988
Pd 0.8386 0.1777 0.4988
Pd 0.1614 0.8223 0.5012
Pd 0.6217 0.7430 0.2500
Pd 0.3783 0.2570 0.7500
Pt 0.2862 0.0725 0.2500
Pt 0.7138 0.9275 0.7500
Au 0.9602 0.4179 0.2500
Au 0.0398 0.5821 0.7500

## Properties
Energy of formation   0.160 eV/atom
Space-group type   Cmcm (63)
DOS at the Fermi energy   7.60 states/eV/f.u.


(6)
VASP calculation (GGA-PBE) on NdCdAg after structural relaxation.

Unit cell a=4.9173 b=4.9173 c=4.9173 alpha=60.00 beta=60.00 gamma=60.00
Fractional positions:
Nd 0.0000 0.0000 0.0000
Ag 0.2500 0.2500 0.2500
Cd 0.5000 0.5000 0.5000

## Properties
Energy of formation   -0.151 eV/atom
Space-group type   F-43m (216)
DOS at the Fermi energy   4.28 states/eV/f.u.


(7)
VASP calculation (GGA-PBE) on HfMgTc4 after structural relaxation.

Unit cell a=5.2198 b=5.2198 c=5.2198 alpha=60.00 beta=60.00 gamma=60.00
Fractional positions:
Mg 0.0000 0.0000 0.0000
Hf 0.2500 0.2500 0.2500
Tc 0.6253 0.6253 0.1241
Tc 0.6253 0.1241 0.6253
Tc 0.6253 0.6253 0.6253
Tc 0.1241 0.6253 0.6253

## Properties
Energy of formation   -0.109 eV/atom
Space-group type   F-43m (216)
DOS at the Fermi energy   6.79 states/eV/f.u.


(8)
VASP calculation (GGA-PBE) on SrScReC2 after structural relaxation.

Unit cell a=4.2985 b=5.3539 c=4.2985 alpha=90.00 beta=90.00 gamma=90.00
Fractional positions:
Sc 0.0000 0.5000 0.0000
Re 0.5000 0.5000 0.5000
C 0.0000 0.0000 0.5000
C 0.5000 0.0000 0.0000
Sr 0.0000 0.0000 0.0000

## Properties
Energy of formation   3.426 eV/atom
Space-group type   P4/mmm (123)
DOS at the Fermi energy   6.54 states/eV/f.u.